# 1
This record from OQMD via LeMat-Bulk describes an optimized crystal structure of ScGa2Hg. The functional is PBE.

Values from the calculation:
Electronic total energy (eV/atom): -3.341

a b c (Å): 6.841 6.841 6.841
angles (deg): 90.00 90.00 90.00
Space group F-43m (No. 216)
Symmetry-distinct sites (fractional):
Sc  0.000  0.000  0.000 (multiplicity 4)
Ga  0.000  0.000  0.500 (multiplicity 4)
Ga  0.250  0.250  0.750 (multiplicity 4)
Hg  0.250  0.250  0.250 (multiplicity 4)

---

# 2
This record from OQMD via LeMat-Bulk describes an optimized crystal structure of ScGaHg. The functional is PBE.

Values from the calculation:
Relative energy among the computed polymorphs (meV/atom): 0.0

a b c (Å): 4.4957 4.4957 6.9480
angles (deg): 90.00 90.00 120.00
Space group P-6m2 (No. 187)
Symmetry-distinct sites (fractional):
Sc  0.0000  0.0000  0.0000 (multiplicity 1)
Sc  0.0000  0.0000  0.5000 (multiplicity 1)
Ga  0.6667  0.3333  0.1972 (multiplicity 2)
Hg  0.3333  0.6667  0.2860 (multiplicity 2)

---

# 3
This record from OQMD via LeMat-Bulk describes an optimized crystal structure of ScGaHg2. The functional is PBE.

Values from the calculation:
Electronic total energy (eV/atom): -2.649

a b c (Å): 6.961 6.961 6.961
angles (deg): 90.00 90.00 90.00
Space group F-43m (No. 216)
Symmetry-distinct sites (fractional):
Sc  0.000  0.000  0.000 (multiplicity 4)
Ga  0.250  0.250  0.750 (multiplicity 4)
Hg  0.000  0.000  0.500 (multiplicity 4)
Hg  0.250  0.250  0.250 (multiplicity 4)

---

# 4
This record from OQMD via LeMat-Bulk describes an optimized crystal structure of ScGaHg. The functional is PBE.

Values from the calculation:
Relative energy among the computed polymorphs (meV/atom): 373.9

a b c (Å): 6.583 6.583 6.583
angles (deg): 90.00 90.00 90.00
Space group F-43m (No. 216)
Symmetry-distinct sites (fractional):
Sc  0.000  0.000  0.000 (multiplicity 4)
Ga  0.250  0.250  0.750 (multiplicity 4)
Hg  0.250  0.250  0.250 (multiplicity 4)

---

| no. | ρ (g/cm3) |
| --- | --- |
| 1 | 7.988 |
| 2 | 8.610 |
| 3 | 10.158 |
| 4 | 7.341 |